Sr2FeCuBr | PBE | relaxed

Formation energy from raw total energies (eV/atom): 0.238
DOS at the Fermi energy (states/eV/f.u.): 4.06

a b c (Å): 5.7611 4.5000 5.7611
angles (deg): 90.00 90.00 90.00
Last column: magnetic moment on the atom in μB.
Sites, in units of the cell vectors:
Sr 0.0000 0.0000 0.5000  -0.06
Sr 0.5000 0.0000 0.0000  -0.05
Cu 0.5000 0.5000 0.5000  -0.01
Br 0.0000 0.5000 0.0000  0.03
Fe 0.0000 0.0000 0.0000  1.43